#P
# Nd3SmTl2, relaxed, DFT PBE
# Theoretical density ... 8.541 g cm⁻³
# Magnetic moment ... 0.0 μB/f.u.
data_Nd3SmTl2
_chemical_formula_sum 'Nd12 Sm4 Tl8'
_cell_length_a 16.748
_cell_length_b 5.107
_cell_length_c 10.324
_cell_angle_alpha 90.00
_cell_angle_beta 119.12
_cell_angle_gamma 90.00
_space_group_name_H-M_alt 'C 1 2/m 1'
_space_group_IT_number 12
loop_
_space_group_symop_operation_xyz
'x,y,z'
'-x,-y,-z'
'-x,y,-z'
'x,-y,z'
'x+1/2,y+1/2,z'
'-x+1/2,-y+1/2,-z'
'-x+1/2,y+1/2,-z'
'x+1/2,-y+1/2,z'
loop_
_atom_site_label
_atom_site_fract_x
_atom_site_fract_y
_atom_site_fract_z
Nd1 0.042 0.000 0.363
Nd2 0.132 0.500 0.673
Nd3 0.212 0.500 0.382
Sm1 0.119 0.000 0.066
Tl1 0.009 0.500 0.857
Tl2 0.239 0.000 0.895

#Q
# Nd3SmTl2, relaxed, DFT PBE
# Theoretical density ... 8.741 g cm⁻³
# Magnetic moment ... 0.0 μB/f.u.
data_Nd3SmTl2
_chemical_formula_sum 'Nd6 Sm2 Tl4'
_cell_length_a 5.273
_cell_length_b 10.340
_cell_length_c 6.912
_cell_angle_alpha 90.00
_cell_angle_beta 90.00
_cell_angle_gamma 90.00
_space_group_name_H-M_alt 'P m c 21'
_space_group_IT_number 26
loop_
_space_group_symop_operation_xyz
'x,y,z'
'-x,-y,z+1/2'
'-x,y,z'
'x,-y,z+1/2'
loop_
_atom_site_label
_atom_site_fract_x
_atom_site_fract_y
_atom_site_fract_z
Nd1 0.000 0.042 0.000
Nd2 0.000 0.318 0.366
Nd3 0.500 0.185 0.732
Sm1 0.500 0.458 0.095
Tl1 0.000 0.365 0.842
Tl2 0.500 0.137 0.257

Short version: #P is the least stable of them.

#P
# Nd3Sm2Tl2, relaxed, DFT PBE
# Theoretical density ... 8.571 g cm⁻³
# Magnetic moment ... 0.0 μB/f.u.
data_Nd3Sm2Tl2
_chemical_formula_sum 'Nd9 Sm6 Tl6'
_cell_length_a 5.5623
_cell_length_b 5.5623
_cell_length_c 24.7727
_cell_angle_alpha 90.00
_cell_angle_beta 90.00
_cell_angle_gamma 120.00
_space_group_name_H-M_alt 'R -3 m'
_space_group_IT_number 166
_space_group_name_Hall '-R 3 2"'
loop_
_atom_site_label
_atom_site_fract_x
_atom_site_fract_y
_atom_site_fract_z
Nd1 0.0000 0.0000 0.0000
Nd2 0.0000 0.0000 0.1549
Sm1 0.0000 0.0000 0.4234
Tl1 0.0000 0.0000 0.2840

#Q
# Nd3Sm2Tl2, relaxed, DFT PBE
# Theoretical density ... 8.683 g cm⁻³
# Magnetic moment ... 0.0 μB/f.u.
data_Nd3Sm2Tl2
_chemical_formula_sum 'Nd6 Sm4 Tl4'
_cell_length_a 4.893
_cell_length_b 24.870
_cell_length_c 3.590
_cell_angle_alpha 90.00
_cell_angle_beta 90.00
_cell_angle_gamma 90.00
_space_group_name_H-M_alt 'C m m m'
_space_group_IT_number 65
_space_group_name_Hall '-C 2 2'
loop_
_atom_site_label
_atom_site_fract_x
_atom_site_fract_y
_atom_site_fract_z
Nd1 0.000 0.000 0.000
Nd2 0.000 0.140 0.000
Sm1 0.000 0.288 0.500
Tl1 0.000 0.428 0.500

Short version: #Q is the least stable of them.

#P
# NdSmTmTl, relaxed, DFT PBE
# Theoretical density ... 9.193 g cm⁻³
# Magnetic moment ... 1.1 μB/f.u.
data_NdSmTmTl
_chemical_formula_sum 'Nd4 Sm4 Tm4 Tl4'
_cell_length_a 7.844
_cell_length_b 7.844
_cell_length_c 7.844
_cell_angle_alpha 90.00
_cell_angle_beta 90.00
_cell_angle_gamma 90.00
_space_group_name_H-M_alt 'F -4 3 m'
_space_group_IT_number 216
_space_group_name_Hall 'F -4 2 3'
loop_
_atom_site_label
_atom_site_fract_x
_atom_site_fract_y
_atom_site_fract_z
Nd1 0.000 0.000 0.000
Sm1 0.000 0.000 0.500
Tm1 0.250 0.250 0.750
Tl1 0.250 0.250 0.250

#Q
# NdSmTmTl, relaxed, DFT PBE
# Theoretical density ... 9.362 g cm⁻³
# Magnetic moment ... 0.0 μB/f.u.
data_NdSmTmTl
_chemical_formula_sum 'Nd1 Sm1 Tm1 Tl1'
_cell_length_a 4.863
_cell_length_b 4.884
_cell_length_c 4.988
_cell_angle_alpha 90.00
_cell_angle_beta 90.00
_cell_angle_gamma 90.00
_space_group_name_H-M_alt 'P m m m'
_space_group_IT_number 47
loop_
_space_group_symop_operation_xyz
'x,y,z'
'-x,-y,-z'
'-x,-y,z'
'x,y,-z'
'x,-y,-z'
'-x,y,z'
'-x,y,-z'
'x,-y,z'
loop_
_atom_site_label
_atom_site_fract_x
_atom_site_fract_y
_atom_site_fract_z
Nd1 0.000 0.000 0.000
Sm1 0.500 0.500 0.000
Tm1 0.500 0.000 0.500
Tl1 0.000 0.500 0.500

Short version: #P is the least stable of them.

#P
# NdSmYTl, relaxed, DFT PBE
# Theoretical density ... 8.120 g cm⁻³
# Magnetic moment ... 0.0 μB/f.u.
data_NdSmYTl
_chemical_formula_sum 'Nd1 Sm1 Y1 Tl1'
_cell_length_a 4.875
_cell_length_b 4.892
_cell_length_c 5.041
_cell_angle_alpha 90.00
_cell_angle_beta 90.00
_cell_angle_gamma 90.00
_space_group_name_H-M_alt 'P m m m'
_space_group_IT_number 47
loop_
_space_group_symop_operation_xyz
'x,y,z'
'-x,-y,-z'
'-x,-y,z'
'x,y,-z'
'x,-y,-z'
'-x,y,z'
'-x,y,-z'
'x,-y,z'
loop_
_atom_site_label
_atom_site_fract_x
_atom_site_fract_y
_atom_site_fract_z
Nd1 0.000 0.000 0.000
Sm1 0.500 0.500 0.000
Y1 0.500 0.000 0.500
Tl1 0.000 0.500 0.500

#Q
# NdSmYTl, relaxed, DFT PBE
# Theoretical density ... 7.949 g cm⁻³
# Magnetic moment ... 1.4 μB/f.u.
data_NdSmYTl
_chemical_formula_sum 'Nd4 Sm4 Y4 Tl4'
_cell_length_a 7.890
_cell_length_b 7.890
_cell_length_c 7.890
_cell_angle_alpha 90.00
_cell_angle_beta 90.00
_cell_angle_gamma 90.00
_space_group_name_H-M_alt 'F -4 3 m'
_space_group_IT_number 216
_space_group_name_Hall 'F -4 2 3'
loop_
_atom_site_label
_atom_site_fract_x
_atom_site_fract_y
_atom_site_fract_z
Nd1 0.000 0.000 0.000
Sm1 0.000 0.000 0.500
Y1 0.250 0.250 0.250
Tl1 0.250 0.250 0.750

Short version: #Q is the least stable of them.

#P
# NdSmTlZn, relaxed, DFT PBE
# Theoretical density ... 8.677 g cm⁻³
# Magnetic moment ... 0.0 μB/f.u.
data_NdSmTlZn
_chemical_formula_sum 'Nd1 Sm1 Tl1 Zn1'
_cell_length_a 3.751
_cell_length_b 3.751
_cell_length_c 7.677
_cell_angle_alpha 90.00
_cell_angle_beta 90.00
_cell_angle_gamma 90.00
_space_group_name_H-M_alt 'P 4 m m'
_space_group_IT_number 99
loop_
_space_group_symop_operation_xyz
'x,y,z'
'-y,x,z'
'-x,-y,z'
'y,-x,z'
'-x,y,z'
'y,x,z'
'x,-y,z'
'-y,-x,z'
loop_
_atom_site_label
_atom_site_fract_x
_atom_site_fract_y
_atom_site_fract_z
Nd1 0.000 0.000 0.000
Sm1 0.000 0.000 0.545
Tl1 0.500 0.500 0.277
Zn1 0.500 0.500 0.766

#Q
# NdSmTlZn, relaxed, DFT PBE
# Theoretical density ... 8.567 g cm⁻³
# Magnetic moment ... 0.0 μB/f.u.
data_NdSmTlZn
_chemical_formula_sum 'Nd4 Sm4 Tl4 Zn4'
_cell_length_a 7.592
_cell_length_b 7.592
_cell_length_c 7.592
_cell_angle_alpha 90.00
_cell_angle_beta 90.00
_cell_angle_gamma 90.00
_space_group_name_H-M_alt 'F -4 3 m'
_space_group_IT_number 216
_space_group_name_Hall 'F -4 2 3'
loop_
_atom_site_label
_atom_site_fract_x
_atom_site_fract_y
_atom_site_fract_z
Nd1 0.000 0.000 0.000
Sm1 0.000 0.000 0.500
Tl1 0.250 0.250 0.250
Zn1 0.250 0.250 0.750

Short version: #Q is the least stable of them.

#P
# Nd3Sm2Tm3, relaxed, DFT PBE
# Theoretical density ... 7.841 g cm⁻³
# Magnetic moment ... 0.0 μB/f.u.
data_Nd3Sm2Tm3
_chemical_formula_sum 'Nd6 Sm4 Tm6'
_cell_length_a 5.063
_cell_length_b 5.099
_cell_length_c 20.350
_cell_angle_alpha 90.00
_cell_angle_beta 90.00
_cell_angle_gamma 90.00
_space_group_name_H-M_alt 'I m m m'
_space_group_IT_number 71
_space_group_name_Hall '-I 2 2'
loop_
_atom_site_label
_atom_site_fract_x
_atom_site_fract_y
_atom_site_fract_z
Nd1 0.000 0.000 0.000
Nd2 0.000 0.500 0.123
Sm1 0.000 0.000 0.249
Tm1 0.000 0.000 0.500
Tm2 0.000 0.500 0.375

#Q
# Nd3Sm2Tm3, relaxed, DFT PBE
# Theoretical density ... 7.808 g cm⁻³
# Magnetic moment ... 0.0 μB/f.u.
data_Nd3Sm2Tm3
_chemical_formula_sum 'Nd6 Sm4 Tm6'
_cell_length_a 5.966
_cell_length_b 5.985
_cell_length_c 14.773
_cell_angle_alpha 90.00
_cell_angle_beta 90.00
_cell_angle_gamma 90.00
_space_group_name_H-M_alt 'I m m m'
_space_group_IT_number 71
_space_group_name_Hall '-I 2 2'
loop_
_atom_site_label
_atom_site_fract_x
_atom_site_fract_y
_atom_site_fract_z
Nd1 0.000 0.000 0.000
Nd2 0.000 0.500 0.127
Sm1 0.000 0.000 0.254
Tm1 0.000 0.000 0.500
Tm2 0.000 0.500 0.377

Short version: #Q is the least stable of them.

#P
# NdSm3Tm2, relaxed, DFT PBE
# Theoretical density ... 7.396 g cm⁻³
# Magnetic moment ... 0.0 μB/f.u.
data_NdSm3Tm2
_chemical_formula_sum 'Nd4 Sm12 Tm8'
_cell_length_a 14.838
_cell_length_b 10.101
_cell_length_c 5.592
_cell_angle_alpha 90.00
_cell_angle_beta 90.00
_cell_angle_gamma 90.00
_space_group_name_H-M_alt 'C m c m'
_space_group_IT_number 63
_space_group_name_Hall '-C 2c 2'
loop_
_atom_site_label
_atom_site_fract_x
_atom_site_fract_y
_atom_site_fract_z
Nd1 0.000 0.239 0.250
Sm1 0.000 0.407 0.750
Sm2 0.237 0.371 0.750
Tm1 0.108 0.095 0.750

#Q
# NdSm3Tm2, relaxed, DFT PBE
# Theoretical density ... 7.903 g cm⁻³
# Magnetic moment ... 0.0 μB/f.u.
data_NdSm3Tm2
_chemical_formula_sum 'Nd4 Sm12 Tm8'
_cell_length_a 17.599
_cell_length_b 7.174
_cell_length_c 6.213
_cell_angle_alpha 90.00
_cell_angle_beta 90.17
_cell_angle_gamma 90.00
_space_group_name_H-M_alt 'C 1 2/c 1'
_space_group_IT_number 15
loop_
_space_group_symop_operation_xyz
'x,y,z'
'-x,-y,-z'
'-x,y,-z+1/2'
'x,-y,z+1/2'
'x+1/2,y+1/2,z'
'-x+1/2,-y+1/2,-z'
'-x+1/2,y+1/2,-z+1/2'
'x+1/2,-y+1/2,z+1/2'
loop_
_atom_site_label
_atom_site_fract_x
_atom_site_fract_y
_atom_site_fract_z
Nd1 0.000 0.126 0.250
Sm1 0.000 0.376 0.750
Sm2 0.168 0.126 0.916
Tm1 0.168 0.376 0.418

Short version: #P is the least stable of them.

#P
# Nd4Sm3Tm4, relaxed, DFT PBE
# Theoretical density ... 7.665 g cm⁻³
# Magnetic moment ... 0.0 μB/f.u.
data_Nd4Sm3Tm4
_chemical_formula_sum 'Nd8 Sm6 Tm8'
_cell_length_a 10.712
_cell_length_b 5.716
_cell_length_c 12.056
_cell_angle_alpha 90.00
_cell_angle_beta 90.00
_cell_angle_gamma 90.00
_space_group_name_H-M_alt 'A m m 2'
_space_group_IT_number 38
loop_
_space_group_symop_operation_xyz
'x,y,z'
'-x,-y,z'
'-x,y,z'
'x,-y,z'
'x,y+1/2,z+1/2'
'-x,-y+1/2,z+1/2'
'-x,y+1/2,z+1/2'
'x,-y+1/2,z+1/2'
loop_
_atom_site_label
_atom_site_fract_x
_atom_site_fract_y
_atom_site_fract_z
Nd1 0.000 0.000 0.000
Nd2 0.211 0.000 0.793
Nd3 0.500 0.000 0.922
Sm1 0.000 0.000 0.293
Sm2 0.289 0.000 0.451
Tm1 0.000 0.000 0.595
Tm2 0.304 0.000 0.145
Tm3 0.500 0.000 0.649

#Q
# Nd4Sm3Tm4, relaxed, DFT PBE
# Theoretical density ... 7.830 g cm⁻³
# Magnetic moment ... 0.0 μB/f.u.
data_Nd4Sm3Tm4
_chemical_formula_sum 'Nd4 Sm3 Tm4'
_cell_length_a 3.608
_cell_length_b 5.064
_cell_length_c 20.020
_cell_angle_alpha 97.26
_cell_angle_beta 95.16
_cell_angle_gamma 90.00
_space_group_name_H-M_alt 'P -1'
_space_group_IT_number 2
loop_
_space_group_symop_operation_xyz
'x,y,z'
'-x,-y,-z'
loop_
_atom_site_label
_atom_site_fract_x
_atom_site_fract_y
_atom_site_fract_z
Nd1 0.046 0.047 0.092
Nd2 0.318 0.317 0.634
Sm1 0.136 0.137 0.273
Sm2 0.500 0.500 0.000
Tm1 0.228 0.228 0.456
Tm2 0.407 0.407 0.816

Short version: #P is the least stable of them.

#P
# NdSm4Tm, relaxed, DFT PBE
# Theoretical density ... 7.291 g cm⁻³
# Magnetic moment ... 0.0 μB/f.u.
data_NdSm4Tm
_chemical_formula_sum 'Nd4 Sm16 Tm4'
_cell_length_a 9.410
_cell_length_b 9.410
_cell_length_c 9.410
_cell_angle_alpha 90.00
_cell_angle_beta 90.00
_cell_angle_gamma 90.00
_space_group_name_H-M_alt 'F -4 3 m'
_space_group_IT_number 216
_space_group_name_Hall 'F -4 2 3'
loop_
_atom_site_label
_atom_site_fract_x
_atom_site_fract_y
_atom_site_fract_z
Nd1 0.000 0.000 0.000
Sm1 0.124 0.124 0.624
Tm1 0.250 0.250 0.250

#Q
# NdSm4Tm, relaxed, DFT PBE
# Theoretical density ... 7.383 g cm⁻³
# Magnetic moment ... 0.0 μB/f.u.
data_NdSm4Tm
_chemical_formula_sum 'Nd2 Sm8 Tm2'
_cell_length_a 11.766
_cell_length_b 3.471
_cell_length_c 11.602
_cell_angle_alpha 90.00
_cell_angle_beta 119.74
_cell_angle_gamma 90.00
_space_group_name_H-M_alt 'C 1 2/m 1'
_space_group_IT_number 12
loop_
_space_group_symop_operation_xyz
'x,y,z'
'-x,-y,-z'
'-x,y,-z'
'x,-y,z'
'x+1/2,y+1/2,z'
'-x+1/2,-y+1/2,-z'
'-x+1/2,y+1/2,-z'
'x+1/2,-y+1/2,z'
loop_
_atom_site_label
_atom_site_fract_x
_atom_site_fract_y
_atom_site_fract_z
Nd1 0.000 0.000 0.000
Sm1 0.188 0.000 0.842
Sm2 0.192 0.000 0.347
Tm1 0.000 0.000 0.500

#R
# NdSm4Tm, relaxed, DFT PBE
# Theoretical density ... 7.584 g cm⁻³
# Magnetic moment ... 0.0 μB/f.u.
data_NdSm4Tm
_chemical_formula_sum 'Nd2 Sm8 Tm2'
_cell_length_a 5.117
_cell_length_b 15.346
_cell_length_c 5.100
_cell_angle_alpha 90.00
_cell_angle_beta 90.00
_cell_angle_gamma 90.00
_space_group_name_H-M_alt 'C m m m'
_space_group_IT_number 65
_space_group_name_Hall '-C 2 2'
loop_
_atom_site_label
_atom_site_fract_x
_atom_site_fract_y
_atom_site_fract_z
Nd1 0.000 0.000 0.000
Sm1 0.000 0.166 0.500
Sm2 0.000 0.334 0.000
Tm1 0.000 0.500 0.500

Short version: #P is the least stable of them.

#P
# Nd7SmTm2, relaxed, DFT PBE
# Theoretical density ... 5.968 g cm⁻³
# Magnetic moment ... 0.0 μB/f.u.
data_Nd7SmTm2
_chemical_formula_sum 'Nd14 Sm2 Tm4'
_cell_length_a 8.970
_cell_length_b 16.150
_cell_length_c 5.754
_cell_angle_alpha 90.00
_cell_angle_beta 90.00
_cell_angle_gamma 90.00
_space_group_name_H-M_alt 'C m m m'
_space_group_IT_number 65
_space_group_name_Hall '-C 2 2'
loop_
_atom_site_label
_atom_site_fract_x
_atom_site_fract_y
_atom_site_fract_z
Nd1 0.000 0.000 0.000
Nd2 0.000 0.272 0.500
Nd3 0.180 0.384 0.000
Sm1 0.000 0.500 0.500
Tm1 0.000 0.205 0.000

#Q
# Nd7SmTm2, relaxed, DFT PBE
# Theoretical density ... 7.024 g cm⁻³
# Magnetic moment ... 0.0 μB/f.u.
data_Nd7SmTm2
_chemical_formula_sum 'Nd14 Sm2 Tm4'
_cell_length_a 5.520
_cell_length_b 7.834
_cell_length_c 16.379
_cell_angle_alpha 90.00
_cell_angle_beta 90.00
_cell_angle_gamma 90.00
_space_group_name_H-M_alt 'I m m m'
_space_group_IT_number 71
_space_group_name_Hall '-I 2 2'
loop_
_atom_site_label
_atom_site_fract_x
_atom_site_fract_y
_atom_site_fract_z
Nd1 0.000 0.000 0.000
Nd2 0.000 0.301 0.130
Nd3 0.000 0.500 0.343
Sm1 0.000 0.000 0.500
Tm1 0.000 0.000 0.287

Short version: #P is the least stable of them.

#P
# Nd6Sm2Tm, relaxed, DFT PBE
# Theoretical density ... 7.120 g cm⁻³
# Magnetic moment ... 0.0 μB/f.u.
data_Nd6Sm2Tm
_chemical_formula_sum 'Nd12 Sm4 Tm2'
_cell_length_a 9.494
_cell_length_b 17.882
_cell_length_c 3.668
_cell_angle_alpha 90.00
_cell_angle_beta 90.00
_cell_angle_gamma 90.00
_space_group_name_H-M_alt 'C m m m'
_space_group_IT_number 65
_space_group_name_Hall '-C 2 2'
loop_
_atom_site_label
_atom_site_fract_x
_atom_site_fract_y
_atom_site_fract_z
Nd1 0.175 0.165 0.000
Nd2 0.185 0.000 0.500
Sm1 0.000 0.325 0.500
Tm1 0.000 0.500 0.000

#Q
# Nd6Sm2Tm, relaxed, DFT PBE
# Theoretical density ... 7.209 g cm⁻³
# Magnetic moment ... 0.0 μB/f.u.
data_Nd6Sm2Tm
_chemical_formula_sum 'Nd24 Sm8 Tm4'
_cell_length_a 16.618
_cell_length_b 11.880
_cell_length_c 6.268
_cell_angle_alpha 90.00
_cell_angle_beta 96.21
_cell_angle_gamma 90.00
_space_group_name_H-M_alt 'C 1 2/c 1'
_space_group_IT_number 15
loop_
_space_group_symop_operation_xyz
'x,y,z'
'-x,-y,-z'
'-x,y,-z+1/2'
'x,-y,z+1/2'
'x+1/2,y+1/2,z'
'-x+1/2,-y+1/2,-z'
'-x+1/2,y+1/2,-z+1/2'
'x+1/2,-y+1/2,z+1/2'
loop_
_atom_site_label
_atom_site_fract_x
_atom_site_fract_y
_atom_site_fract_z
Nd1 0.048 0.141 0.013
Nd2 0.116 0.360 0.320
Nd3 0.211 0.362 0.850
Sm1 0.168 0.100 0.579
Tm1 0.000 0.400 0.750

Short version: #P is the least stable of them.